Record 1
Pm5Hg4Ir: optimized geometry, PBE.

Output
As for the total energy: -38.93 eV/cell. The calculation puts the formation energy at -5.1 eV/f.u. As for the symmetry: P4/mmm, No. 123.

The structure in POSCAR format:
```
Pm5Hg4Ir
1.0
-0.7914 1.8750 -3.0958
0.9761 -2.9409 -2.0308
-18.1459 -6.5052 0.6988
Pm Hg Ir
5 4 1
Direct
0.5000 0.5000 0.0844 Pm
0.5000 0.5000 0.2937 Pm
0.5000 0.5000 0.5000 Pm
0.5000 0.5000 0.7063 Pm
0.5000 0.5000 0.9156 Pm
0.0000 0.0000 0.1943 Hg
0.0000 0.0000 0.3972 Hg
0.0000 0.0000 0.6028 Hg
0.0000 0.0000 0.8057 Hg
0.0000 0.0000 0.0000 Ir
```

=====

Record 2
Pm7HgIr2: optimized geometry, PBE.

Output
As for the total energy: -54.95 eV/cell. The calculation puts the formation energy at -3.7 eV/f.u. As for the symmetry: I4/mmm, No. 139.

The structure in POSCAR format:
```
Pm7HgIr2
1.0
4.9456 0.0000 0.0000
0.0000 4.9456 0.0000
-2.4728 -2.4728 11.7887
Pm Hg Ir
7 1 2
Direct
0.1042 0.6042 0.2084 Pm
0.3958 0.8958 0.7916 Pm
0.6042 0.1042 0.2084 Pm
0.5000 0.5000 0.0000 Pm
0.7500 0.2500 0.5000 Pm
0.8958 0.3958 0.7916 Pm
0.2500 0.7500 0.5000 Pm
0.0000 0.0000 0.0000 Hg
0.6730 0.6730 0.3460 Ir
0.3270 0.3270 0.6540 Ir
```

=====

Record 3
Pm4Hg5Ir2: optimized geometry, PBE.

Output
As for the total energy: -44.04 eV/cell. The calculation puts the formation energy at -5.8 eV/f.u. As for the symmetry: P2/m, No. 10.

The structure in POSCAR format:
```
Pm4Hg5Ir2
1.0
-3.1990 -1.4909 1.2788
3.5787 -6.8665 0.9468
2.0622 3.2020 8.8917
Pm Hg Ir
4 5 2
Direct
0.5000 0.7817 0.5602 Pm
0.5000 0.1812 0.8489 Pm
0.5000 0.2183 0.4398 Pm
0.5000 0.8188 0.1511 Pm
0.0000 0.5432 0.3303 Hg
0.0000 0.1692 0.1443 Hg
0.0000 0.5000 0.0000 Hg
0.0000 0.8308 0.8557 Hg
0.0000 0.4568 0.6697 Hg
0.0000 0.0772 0.6400 Ir
0.0000 0.9228 0.3600 Ir
```

=====

Record 4
Pm8Hg2Ir3: optimized geometry, PBE.

Output
As for the total energy: -70.77 eV/cell. The calculation puts the formation energy at -5.6 eV/f.u. As for the symmetry: P2/m, No. 10.

The structure in POSCAR format:
```
Pm8Hg2Ir3
1.0
-3.9530 -0.0282 -3.1411
3.7483 -8.2448 -4.6430
-5.5396 -0.1620 6.9728
Pm Hg Ir
8 2 3
Direct
0.0000 0.6148 0.2285 Pm
0.0000 0.3852 0.7715 Pm
0.0000 0.1153 0.2296 Pm
0.0000 0.8847 0.7704 Pm
0.5000 0.6397 0.7708 Pm
0.5000 0.1301 0.7703 Pm
0.5000 0.8699 0.2297 Pm
0.5000 0.3603 0.2292 Pm
0.5000 0.2572 0.5145 Hg
0.5000 0.7428 0.4855 Hg
0.5000 0.0000 0.0000 Ir
0.0000 0.2577 0.0000 Ir
0.0000 0.7423 0.0000 Ir
```

=====

Record 5
Pm8Hg2Ir: optimized geometry, PBE.

Output
As for the total energy: -50.84 eV/cell. The calculation puts the formation energy at -3.4 eV/f.u. As for the symmetry: C2/m, No. 12.

The structure in POSCAR format:
```
Pm8Hg2Ir
1.0
-0.6603 -3.0953 4.2089
3.5783 -5.0834 -3.1771
6.9147 6.1367 2.3035
Pm Hg Ir
8 2 1
Direct
0.4127 0.5668 0.8253 Pm
0.6524 0.9623 0.3048 Pm
0.7982 0.6867 0.5963 Pm
0.9769 0.2183 0.9538 Pm
0.2018 0.3133 0.4037 Pm
0.3476 0.0377 0.6952 Pm
0.5873 0.4332 0.1747 Pm
0.0231 0.7817 0.0462 Pm
0.8096 0.2606 0.6192 Hg
0.1904 0.7394 0.3808 Hg
0.5000 0.0000 0.0000 Ir
```

=====

Record 6
Pm4HgIr2: optimized geometry, PBE.

Output
The value obtained for the energy above the most stable polymorph in this dataset is 29 meV/atom. As for the total energy: -81.46 eV/cell. The calculation puts the formation energy at -3.7 eV/f.u. As for the symmetry: I-42d, No. 122.

The structure in POSCAR format:
```
Pm4HgIr2
1.0
7.3570 0.0000 -2.6766
-3.6442 6.4322 -2.5759
-0.0686 0.0000 7.8285
Pm Hg Ir
8 2 4
Direct
0.1496 0.8918 0.3958 Pm
0.6042 0.7539 0.4960 Pm
0.0078 0.6082 0.7540 Pm
0.2460 0.2539 0.8542 Pm
0.6004 0.7461 0.9922 Pm
0.7422 0.2461 0.8504 Pm
0.5040 0.1082 0.2578 Pm
0.1458 0.3918 0.3996 Pm
0.0000 0.0000 0.0000 Hg
0.7500 0.5000 0.2500 Hg
0.8750 0.1209 0.4959 Ir
0.5041 0.3791 0.6250 Ir
0.3750 0.8791 0.7541 Ir
0.2459 0.6209 0.1250 Ir
```

=====

Record 7
Pm11Hg9Ir4: optimized geometry, PBE.

Output
As for the total energy: -104.10 eV/cell. The calculation puts the formation energy at -13.7 eV/f.u. As for the symmetry: Cmmm, No. 65.

The structure in POSCAR format:
```
Pm11Hg9Ir4
1.0
-1.8717 2.3131 2.3572
-11.5248 -4.1626 -5.0664
3.9632 -7.3149 10.3248
Pm Hg Ir
11 9 4
Direct
0.0000 0.5841 0.9181 Pm
0.0000 0.4159 0.0819 Pm
0.0000 0.9181 0.5841 Pm
0.0000 0.0819 0.4159 Pm
0.0000 0.6278 0.3722 Pm
0.0000 0.3722 0.6278 Pm
0.0000 0.8339 0.1661 Pm
0.0000 0.1661 0.8339 Pm
0.0000 0.0000 0.0000 Pm
0.0000 0.6955 0.6955 Pm
0.0000 0.3045 0.3045 Pm
0.5000 0.6324 0.1531 Hg
0.5000 0.3676 0.8469 Hg
0.5000 0.1531 0.6324 Hg
0.5000 0.8469 0.3676 Hg
0.5000 0.7885 0.9356 Hg
0.5000 0.2115 0.0644 Hg
0.5000 0.9356 0.7885 Hg
0.5000 0.0644 0.2115 Hg
0.5000 0.5000 0.5000 Hg
0.5000 0.5492 0.7486 Ir
0.5000 0.4508 0.2514 Ir
0.5000 0.7486 0.5492 Ir
0.5000 0.2514 0.4508 Ir
```

=====

Record 8
Pm4HgIr2: optimized geometry, PBE.

Output
The value obtained for the energy above the most stable polymorph in this dataset is 0 meV/atom. As for the total energy: -81.87 eV/cell. The calculation puts the formation energy at -3.9 eV/f.u. As for the symmetry: Fdd2, No. 43.

The structure in POSCAR format:
```
Pm4HgIr2
1.0
-4.8130 4.4061 2.8748
-3.8892 -4.5634 -3.8591
3.7582 -4.4631 6.4604
Pm Hg Ir
8 2 4
Direct
0.9874 0.2209 0.3585 Pm
0.4144 0.4824 0.2344 Pm
0.8624 0.6289 0.6415 Pm
0.7324 0.1644 0.7344 Pm
0.4300 0.9980 0.2656 Pm
0.2480 0.1800 0.7656 Pm
0.4709 0.7374 0.8585 Pm
0.8789 0.6124 0.1415 Pm
0.2484 0.7484 0.5000 Hg
0.9984 0.9984 0.0000 Hg
0.4484 0.3540 0.5631 Ir
0.7910 0.8854 0.4369 Ir
0.6040 0.1984 0.0631 Ir
0.1354 0.5409 0.9369 Ir
```

=====

Record 9
Pm4HgIr: optimized geometry, PBE.

Output
The value obtained for the energy above the most stable polymorph in this dataset is 80 meV/atom. As for the total energy: -61.46 eV/cell. The calculation puts the formation energy at -2.6 eV/f.u. As for the symmetry: C2/c, No. 15.

The structure in POSCAR format:
```
Pm4HgIr
1.0
-0.6016 3.9155 4.7086
1.0419 -7.6862 3.4472
6.6588 2.8516 -4.0025
Pm Hg Ir
8 2 2
Direct
0.0438 0.2098 0.8594 Pm
0.7808 0.7061 0.6402 Pm
0.3155 0.6496 0.8594 Pm
0.3594 0.9342 0.6402 Pm
0.6406 0.0658 0.3598 Pm
0.6845 0.3504 0.1406 Pm
0.2192 0.2939 0.3598 Pm
0.9562 0.7902 0.1406 Pm
0.3738 0.6238 0.2475 Hg
0.6262 0.3762 0.7525 Hg
0.2500 0.0000 0.0000 Ir
0.7500 0.0000 0.0000 Ir
```

=====

Record 10
Pm6HgIr: optimized geometry, PBE.

Output
As for the total energy: -38.88 eV/cell. The calculation puts the formation energy at -1.2 eV/f.u. As for the symmetry: C2/m, No. 12.

The structure in POSCAR format:
```
Pm6HgIr
1.0
-6.0126 -2.7797 1.8680
0.4444 -2.8172 6.8015
-1.4168 3.6036 5.5839
Pm Hg Ir
6 1 1
Direct
0.7412 0.4771 0.6261 Pm
0.7412 0.1032 0.3739 Pm
0.2588 0.8968 0.6261 Pm
0.2588 0.5229 0.3739 Pm
0.7290 0.7385 0.0000 Pm
0.2710 0.2615 0.0000 Pm
0.0000 0.0000 0.0000 Hg
0.5000 0.5000 0.0000 Ir
```

=====

Record 11
Pm8HgIr5: optimized geometry, PBE.

Output
As for the total energy: -90.85 eV/cell. The calculation puts the formation energy at -8.2 eV/f.u. As for the symmetry: I-4, No. 82.

The structure in POSCAR format:
```
Pm8HgIr5
1.0
-4.7529 -6.0410 0.8434
-1.7673 3.6986 -6.5569
7.3489 -2.3801 -0.3534
Pm Hg Ir
8 1 5
Direct
0.1127 0.7569 0.0099 Pm
0.9901 0.1028 0.7471 Pm
0.7342 0.2452 0.3686 Pm
0.6314 0.3656 0.8766 Pm
0.5110 0.6344 0.2658 Pm
0.6442 0.8972 0.8873 Pm
0.2529 0.2431 0.3558 Pm
0.1234 0.7548 0.4890 Pm
0.2500 0.5000 0.7500 Hg
0.0115 0.3801 0.1217 Ir
0.8783 0.8898 0.2584 Ir
0.7416 0.6199 0.6314 Ir
0.5000 0.0000 0.5000 Ir
0.3686 0.1102 0.9885 Ir
```

=====

Record 12
PmHgIrRh: optimized geometry, PBE.

Output
As for the total energy: -22.12 eV/cell. The calculation puts the formation energy at -0.9 eV/f.u. As for the symmetry: F-43m, No. 216.

The structure in POSCAR format:
```
PmHgIrRh
1.0
-4.0816 1.5371 -1.9733
-0.9920 -1.0415 -4.5659
-3.4782 -3.1196 -1.0422
Ir Rh Hg Pm
1 1 1 1
Direct
0.0000 0.0000 0.0000 Ir
0.5000 0.5000 0.5000 Rh
0.2500 0.2500 0.2500 Hg
0.7500 0.7500 0.7500 Pm
```

=====

Which of these has the highest formation energy?
PmHgIrRh